UCoIr | PBE-GGA | optimized geometry

Results
Formation enthalpy at 0 K   -0.0645 eV/atom
Size of the total moment   0.083 μB per atom
ΔE to the lowest computed polymorph   358 meV per atom

Unit cell a=2.8467 b=4.4530 c=4.4530 alpha=120.00 beta=90.00 gamma=90.00
Each line ends with the local moment (μB).
Fractional positions:
Co: 0.2841 0.3333 0.6667  0.80
Ir: 0.6779 0.6667 0.3333  0.15
U: 0.0380 0.0000 0.0000  -1.15